Entry 1:
Below is Li2As2Se5 after structural relaxation, with properties calculated at the GGA-PBE level.

It has space group Ima2 (No. 46), with a = 14.016 Å, b = 7.069 Å, c = 10.543 Å, α = 90.00°, β = 90.00° and γ = 90.00°. Symmetry generates all atoms from Li at (0.111, 0.065, 0.000), As at (0.000, 0.000, 0.501), As at (0.250, 0.637, 0.990), Se at (0.034, 0.736, 0.623), Se at (0.135, 0.071, 0.366) and Se at (0.250, 0.577, 0.379).

The formation energy (no corrections) is -390 meV per atom. For the uncorrected energy, the calculation gives -3.78 eV/atom.

Entry 2:
Below is LiAsSe2 after structural relaxation, with properties calculated at the GGA-PBE level.

It has space group P2/m (No. 10), with a = 3.026 Å, b = 3.754 Å, c = 7.373 Å, α = 90.00°, β = 98.30° and γ = 90.00°. Symmetry generates all atoms from Li at (0.000, 0.000, 0.000), As at (0.500, 0.000, 0.500) and Se at (0.437, 0.500, 0.236).

The formation energy (no corrections) is -330 meV per atom. For the uncorrected energy, the calculation gives -3.71 eV/atom.

Entry 3:
Below is LiAs2Se after structural relaxation, with properties calculated at the GGA-PBE level.

It has space group Cmm2 (No. 35), with a = 3.807 Å, b = 4.995 Å, c = 8.652 Å, α = 90.00°, β = 90.00° and γ = 90.00°. Symmetry generates all atoms from Li at (0.000, 0.000, 0.000), As at (0.000, 0.000, 0.475), As at (0.000, 0.500, 0.278) and Se at (0.000, 0.500, 0.813).

The formation energy (no corrections) is -46 meV per atom. For the uncorrected energy, the calculation gives -3.72 eV/atom.